Record 1
16
Lattice="6.656 0.000 0.000 0.000 6.656 0.000 0.000 0.000 12.352" Properties=species:S:1:pos:R:3 comment="MnAgI2 | Alexandria | PBE | relaxed" e_above_lowest_polymorph_mev_per_atom=12 final_energy_ry_per_atom=-0.2711 formation_energy_uncorrected_ev_per_atom=0.092 spacegroup=I-42d dos_ef_per_ev_cell=14.700 pbc="T T T"
Mn 0.000 0.000 0.000
Mn 0.000 3.328 3.088
Mn 3.328 0.000 9.264
Mn 3.328 3.328 6.176
Ag 0.000 0.000 6.176
Ag 0.000 3.328 9.264
Ag 3.328 0.000 3.088
Ag 3.328 3.328 0.000
I 1.504 1.664 1.544
I 1.664 4.832 4.632
I 1.664 5.152 10.808
I 1.824 1.664 7.720
I 4.832 4.992 7.720
I 4.992 1.504 10.808
I 4.992 1.824 4.632
I 5.152 4.992 1.544


Record 2
5
Lattice="5.702 0.000 0.000 0.000 5.702 0.000 0.000 0.000 3.607" Properties=species:S:1:pos:R:3 comment="MnAgI2N | Alexandria | PBE | relaxed" e_above_lowest_polymorph_mev_per_atom=0 final_energy_ry_per_atom=-0.3250 formation_energy_uncorrected_ev_per_atom=0.267 spacegroup=P4/mmm dos_ef_per_ev_cell=2.288 pbc="T T T"
Mn 0.000 0.000 0.000
Ag 2.851 2.851 1.804
I 0.000 2.851 0.000
I 2.851 0.000 0.000
N 0.000 0.000 1.804